A plane-wave DFT calculation with PBE was carried out for KLa2Be after structural relaxation.

Geometry as POSCAR:
```
KLa2Be
1.0
-4.776 3.281 -2.690
-3.519 -3.189 -4.273
2.061 -1.056 5.954
Be K La
1 1 2
Cartesian
-4.148 0.046 -3.482 Be
-3.431 1.136 -0.109 K
-2.803 -2.099 -0.900 La
0.000 0.000 0.000 La
```

SG	I-4m2 (119)

A plane-wave DFT calculation with PBE was carried out for KLa2Be after structural relaxation.

Geometry as POSCAR:
```
KLa2Be
1.0
4.504 0.003 0.000
2.972 3.384 0.000
1.039 0.471 10.504
La K Be
2 1 1
Cartesian
4.133 1.873 6.359 La
1.164 0.527 9.397 La
2.129 0.964 2.626 K
6.386 2.893 7.878 Be
```

SG	C2/m (12)

A plane-wave DFT calculation with PBE was carried out for KLa2Be after structural relaxation.

Geometry as POSCAR:
```
KLa2Be
1.0
-0.401 -1.012 -3.677
-2.352 -2.844 1.039
-7.619 6.001 -0.820
K La Be
1 2 1
Cartesian
-6.644 2.221 -1.885 K
-0.525 0.414 -0.057 La
-3.716 -0.085 -1.570 La
-3.297 2.597 -0.355 Be
```

SG	P4mm (99)

A plane-wave DFT calculation with PBE was carried out for KLa2Be after structural relaxation.

Geometry as POSCAR:
```
KLa2Be
1.0
-0.647 1.332 5.147
1.605 -4.894 1.468
4.125 1.400 0.156
La Be K
2 1 1
Cartesian
0.000 0.000 0.000 La
0.479 -1.781 3.308 La
1.739 1.366 2.652 Be
2.865 -1.747 0.812 K
```

SG	P4/mmm (123)

A plane-wave DFT calculation with PBE was carried out for KLa2Be after structural relaxation.

Geometry as POSCAR:
```
KLa2Be
1.0
-1.661 6.754 1.865
-4.509 3.930 -4.010
1.472 -5.640 4.228
Be La K
1 2 1
Cartesian
-1.637 3.228 2.510 Be
-3.430 5.940 -1.193 La
-5.825 10.086 -2.025 La
-3.061 1.816 -0.427 K
```

SG	Immm (71)

A plane-wave DFT calculation with PBE was carried out for KLa2Be after structural relaxation.

Geometry as POSCAR:
```
KLa2Be
1.0
9.155 0.051 -0.010
7.149 5.719 0.010
-7.892 -3.619 2.904
La Be K
2 1 1
Cartesian
2.871 -0.991 1.447 La
0.401 0.142 0.000 La
8.309 2.941 0.000 Be
4.982 2.945 1.457 K
```

SG	Imm2 (44)

A plane-wave DFT calculation with PBE was carried out for KLa2Be after structural relaxation.

Geometry as POSCAR:
```
KLa2Be
1.0
11.603 -0.021 -0.013
10.989 3.726 -0.013
10.989 1.802 3.261
La K Be
2 1 1
Cartesian
7.891 1.294 0.760 La
33.167 5.438 3.196 La
25.774 4.226 2.484 K
17.118 2.807 1.649 Be
```

SG	R3m (160)

A plane-wave DFT calculation with PBE was carried out for KNaLaBe2 after structural relaxation.

Geometry as POSCAR:
```
KNaLaBe2
1.0
-4.801 1.387 -1.957
-2.858 -2.943 4.924
0.167 4.561 2.823
Be K Na La
2 1 1 1
Cartesian
-2.401 0.693 -0.979 Be
0.083 2.281 1.412 Be
-1.429 -1.472 2.462 K
-3.746 1.502 2.895 Na
0.000 0.000 0.000 La
```

SG	P4/mmm (123)

| no. | energy of formation (eV per atom) |
| --- | --- |
| 1 | 0.713 |
| 2 | 0.361 |
| 3 | 0.400 |
| 4 | 0.681 |
| 5 | 0.483 |
| 6 | 0.438 |
| 7 | 0.533 |
| 8 | 1.285 |